A plane-wave DFT calculation with GGA-PBEsol was carried out for a relaxed TcSbTe2Ir crystal.

a b c (Å): 4.9912 4.9912 4.9739
angles (deg): 90.00 90.00 90.00
Fractional coordinates of all 5 atoms:
1 Tc 0.0000 0.0000 0.0000
2 Sb 0.0000 0.0000 0.5000
3 Te 0.0000 0.5000 0.0000
4 Te 0.5000 0.0000 0.0000
5 Ir 0.5000 0.5000 0.5000

Summary:
density = 8.941 g/cm3
SG = P4/mmm, No. 123
E_form (uncorrected) = 1.221 eV per atom
crystal system = tetragonal